The following is a PBE calculation of TaTe2Pt after structural relaxation, from Alexandria.

It has space group Immm (No. 71), with a = 3.9325 Å, b = 3.9657 Å, c = 14.0777 Å, α = 90.00°, β = 90.00° and γ = 90.00°. The distinct sites, in fractional coordinates, are Ta at (0.0000, 0.0000, 0.0000), Te at (0.0000, 0.5000, 0.1438) and Pt at (0.0000, 0.0000, 0.5000).

The calculation puts the theoretical density at 9.5 g cm⁻³. The magnetic moment is 0.00 μB per cell. The energy comes out at -6.170 eV/atom.